TlGaS2: relaxed, GGA-PBE.

Its formation energy without anion corrections is -57 kJ per mole of atoms.

The space group is I-42d (No. 122) and the conventional cell measures 7.0038, 7.0038 and 8.5132 Å, with angles of 90.00, 90.00 and 90.00 degrees. The asymmetric unit holds Tl at (0.0000, 0.0000, 0.0000), Ga at (0.0000, 0.0000, 0.5000) and S at (0.1523, 0.2500, 0.6250).

LiAc2Al3In4: relaxed, GGA-PBE.

The formation enthalpy at 0 K is -323 meV per atom.

The space group is P-4m2 (No. 115) and the conventional cell measures 4.6892, 4.6892 and 11.5689 Å, with angles of 90.00, 90.00 and 90.00 degrees. The asymmetric unit holds Li at (0.0000, 0.0000, 0.0000), Ac at (0.0000, 0.5000, 0.7486), Al at (0.0000, 0.5000, 0.3612), Al at (0.5000, 0.5000, 0.0000), In at (0.0000, 0.0000, 0.5000), In at (0.0000, 0.5000, 0.1293) and In at (0.5000, 0.5000, 0.5000).

La2TlTe: relaxed, GGA-PBE.

For the energy above the most stable polymorph in this dataset, the calculation gives 51 meV/atom. Its formation energy without anion corrections is -92 kJ per mole of atoms.

The space group is P4/mmm (No. 123) and the conventional cell measures 4.6131, 4.6131 and 6.5428 Å, with angles of 90.00, 90.00 and 90.00 degrees. The asymmetric unit holds La at (0.0000, 0.0000, 0.0000), La at (0.5000, 0.5000, 0.5000), Tl at (0.0000, 0.0000, 0.5000) and Te at (0.5000, 0.5000, 0.0000).

TbTmCdAg: relaxed, GGA-PBE.

The formation enthalpy at 0 K is -306 meV per atom. For the energy above the most stable polymorph in this dataset, the calculation gives 10 meV/atom.

The space group is F-43m (No. 216) and the conventional cell measures 7.3487, 7.3487 and 7.3487 Å, with angles of 90.00, 90.00 and 90.00 degrees. The asymmetric unit holds Tb at (0.0000, 0.0000, 0.0000), Tm at (0.0000, 0.0000, 0.5000), Cd at (0.2500, 0.2500, 0.2500) and Ag at (0.2500, 0.2500, 0.7500).